# Zn2CrBO, optimized geometry, DFT GGA+U
data_Zn2CrBO
_chemical_formula_sum 'Zn2 Cr1 B1 O1'
_cell_length_a 3.871
_cell_length_b 3.871
_cell_length_c 4.566
_cell_angle_alpha 90.00
_cell_angle_beta 90.00
_cell_angle_gamma 90.00
_symmetry_space_group_name_H-M 'P 4/m m m'
_symmetry_Int_Tables_number 123
_symmetry_space_group_name_Hall '-P 4 2'
loop_
_atom_site_label
_atom_site_fract_x
_atom_site_fract_y
_atom_site_fract_z
Zn1 0.000 0.500 0.000
Cr1 0.000 0.000 0.500
B1 0.500 0.500 0.500
O1 0.500 0.500 0.000
# Total moment in Bohr magnetons per cell: 0.969
# Electronic total energy in eV/atom: -3.32
# N(E_F) in states/eV per atom: 0.3076